No. 1
! NaPrY | the Open Quantum Materials Database | PBE | relaxed; values from VASP
&SYSTEM
  ibrav = 0, nat = 3, ntyp = 3
/
ATOMIC_SPECIES
Na 22.99 Na.upf
Pr 140.91 Pr.upf
Y 88.91 Y.upf
CELL_PARAMETERS angstrom
0.0000 3.8096 3.8096
3.8096 0.0000 3.8096
3.8096 3.8096 0.0000
ATOMIC_POSITIONS crystal
Na 0.0000 0.0000 0.0000
Pr 0.2500 0.2500 0.2500
Y 0.7500 0.7500 0.7500
! space group = F-43m (216)
! offset from the most stable computed form = 0.000 eV/atom
! DFT total energy = -3.439 eV per atom

***

No. 2
! NaPrZr | the Open Quantum Materials Database | PBE | relaxed; values from VASP
&SYSTEM
  ibrav = 0, nat = 3, ntyp = 3
/
ATOMIC_SPECIES
Na 22.99 Na.upf
Pr 140.91 Pr.upf
Zr 91.22 Zr.upf
CELL_PARAMETERS angstrom
0.0000 3.7061 3.7061
3.7061 0.0000 3.7061
3.7061 3.7061 0.0000
ATOMIC_POSITIONS crystal
Na 0.2500 0.2500 0.2500
Pr 0.7500 0.7500 0.7500
Zr 0.0000 0.0000 0.0000
! space group = F-43m (216)
! DFT total energy = -3.702 eV per atom

***

No. 3
! NaPt5 | the Open Quantum Materials Database | PBE | relaxed; values from VASP
&SYSTEM
  ibrav = 0, nat = 6, ntyp = 2
/
ATOMIC_SPECIES
Na 22.99 Na.upf
Pt 195.08 Pt.upf
CELL_PARAMETERS angstrom
2.6811 -4.6451 0.0000
2.6811 4.6451 0.0000
0.0000 0.0000 4.4185
ATOMIC_POSITIONS crystal
Na 0.0000 0.0000 0.0000
Pt 0.6666 0.3334 0.0000
Pt 0.3334 0.6666 0.0000
Pt 0.5000 0.0000 0.5000
Pt 0.0000 0.5000 0.5000
Pt 0.5000 0.5000 0.5000
! space group = P6/mmm (191)
! DFT total energy = -5.390 eV per atom

***

> The highest DFT total energy belongs to which entry?

NaPrY

***

Please write out number 1 again, unchanged.
! NaPrY | the Open Quantum Materials Database | PBE | relaxed; values from VASP
&SYSTEM
  ibrav = 0, nat = 3, ntyp = 3
/
ATOMIC_SPECIES
Na 22.99 Na.upf
Pr 140.91 Pr.upf
Y 88.91 Y.upf
CELL_PARAMETERS angstrom
0.0000 3.8096 3.8096
3.8096 0.0000 3.8096
3.8096 3.8096 0.0000
ATOMIC_POSITIONS crystal
Na 0.0000 0.0000 0.0000
Pr 0.2500 0.2500 0.2500
Y 0.7500 0.7500 0.7500
! space group = F-43m (216)
! offset from the most stable computed form = 0.000 eV/atom
! DFT total energy = -3.439 eV per atom